Record 1
Compound: PrDy4Er2
Source: Alexandria via LeMat-Bulk
Functional: GGA-PBE
Structure: optimized geometry

Computed properties:
The calculation puts the formation energy at 0.126 eV per atom. Its symmetry is P2_1/m, No. 11. The value obtained for the density is 8364 kg/m3. As for the density of states at the Fermi level: 11.7 states/eV/f.u. The energy above the most stable polymorph in this dataset comes out at 0.093 eV/atom.

Unit cell a=6.1660 b=6.5232 c=11.5985 alpha=90.00 beta=106.69 gamma=90.00
Last column: nearest neighbours and their distance in Å.
Atoms (fractional coordinates):
Dy1 0.1340 0.7500 0.4270  4 Er 3.35-3.41, 1 Pr 3.44, 4 Dy 3.45-3.57
Pr1 0.1810 0.7500 0.1385  6 Dy 3.32-3.46, 2 Er 3.40-3.44
Er1 0.3041 0.2500 0.4495  9 Dy 3.29-3.54
Dy2 0.6395 0.4921 0.2878  4 Dy 3.16-3.45, 1 Pr 3.32, 1 Er 3.41
Dy3 0.8660 0.2500 0.5730  4 Er 3.35-3.41, 1 Pr 3.44, 4 Dy 3.45-3.57
Dy4 0.6395 0.0079 0.2878  4 Dy 3.16-3.45, 1 Pr 3.32, 1 Er 3.41
Er2 0.3875 0.2500 0.9949  2 Pr 3.40-3.44, 6 Dy 3.44-3.78, 2 Er 3.53
Dy5 0.3605 0.5079 0.7121  4 Dy 3.16-3.45, 1 Pr 3.32, 1 Er 3.41
Er3 0.6959 0.7500 0.5505  9 Dy 3.29-3.54
Dy6 0.0117 0.2500 0.1637  2 Er 3.29-3.44, 3 Pr 3.36-3.46, 2 Dy 3.42
Dy7 0.3605 0.9921 0.7121  4 Dy 3.16-3.45, 1 Pr 3.32, 1 Er 3.41
Dy8 0.9883 0.7500 0.8363  2 Er 3.29-3.44, 3 Pr 3.36-3.46, 2 Dy 3.42
Er4 0.6125 0.7500 0.0051  2 Pr 3.40-3.44, 6 Dy 3.44-3.78, 2 Er 3.53
Pr2 0.8190 0.2500 0.8615  6 Dy 3.32-3.46, 2 Er 3.40-3.44


Record 2
Compound: TbEuY
Source: Alexandria via LeMat-Bulk
Functional: GGA-PBE
Structure: optimized geometry

Computed properties:
The calculation puts the formation energy at 0.056 eV per atom. Its symmetry is I4mm, No. 107. The value obtained for the density is 6390 kg/m3. As for the density of states at the Fermi level: 3.9 states/eV/f.u. The energy above the most stable polymorph in this dataset comes out at 0.003 eV/atom.

Unit cell a=3.6610 b=3.6610 c=8.1721 alpha=102.94 beta=102.94 gamma=90.00
Last column: nearest neighbours and their distance in Å.
Atoms (fractional coordinates):
Y1 0.3251 0.3251 0.6502  4 Tb 3.49, 4 Y 3.66, 4 Eu 3.76
Tb1 0.6743 0.6743 0.3485  4 Y 3.49, 4 Tb 3.66, 4 Eu 3.73
Eu1 0.0006 0.0006 0.0012  4 Eu 3.66, 4 Tb 3.73, 4 Y 3.76


Record 3
Compound: Dy2HoSc3Bi6
Source: Alexandria via LeMat-Bulk
Functional: GGA-PBE
Structure: optimized geometry

Computed properties:
The calculation puts the formation energy at -0.752 eV per atom. Its symmetry is C2/m, No. 12. The value obtained for the density is 8810 kg/m3. As for the density of states at the Fermi level: 2.1 states/eV/f.u.

Unit cell a=7.5745 b=7.5745 c=7.5612 alpha=99.60 beta=99.60 gamma=120.02
Last column: nearest neighbours and their distance in Å.
Atoms (fractional coordinates):
Dy1 0.6664 0.3336 0.0000  6 Bi 3.15
Bi1 0.0879 0.4206 0.2641  3 Sc 3.03, 1 Ho 3.15, 2 Dy 3.15
Sc1 0.1671 0.8329 0.5000  6 Bi 3.03
Sc2 0.8329 0.1671 0.5000  6 Bi 3.03
Bi2 0.5794 0.9121 0.7359  3 Sc 3.03, 1 Ho 3.15, 2 Dy 3.15
Bi3 0.2443 0.2443 0.7353  3 Sc 3.03-3.04, 1 Ho 3.15, 2 Dy 3.15
Dy2 0.3336 0.6664 0.0000  6 Bi 3.15
Bi4 0.9121 0.5794 0.7359  3 Sc 3.03, 1 Ho 3.15, 2 Dy 3.15
Bi5 0.4206 0.0879 0.2641  3 Sc 3.03, 1 Ho 3.15, 2 Dy 3.15
Bi6 0.7557 0.7557 0.2647  3 Sc 3.03-3.04, 1 Ho 3.15, 2 Dy 3.15
Sc3 0.5000 0.5000 0.5000  6 Bi 3.03-3.04
Ho1 0.0000 0.0000 0.0000  6 Bi 3.15


Record 4
Compound: La12Au3N5
Source: Alexandria via LeMat-Bulk
Functional: GGA-PBE
Structure: optimized geometry

Computed properties:
Its symmetry is Ia-3d, No. 230. The value obtained for the density is 7108 kg/m3. As for the density of states at the Fermi level: 22.1 states/eV/f.u. As for the uncorrected formation energy: -0.854 eV per atom.

Unit cell a=14.1374 b=14.1374 c=14.1374 alpha=109.47 beta=109.47 gamma=109.47
Last column: nearest neighbours and their distance in Å.
Atoms (fractional coordinates):
La1 0.8004 0.3155 0.9133  2 N 2.36-2.63
N1 0.7500 0.6250 0.3750  4 La 2.36
La2 0.3155 0.8004 0.4133  2 N 2.36-2.63
Au1 0.8750 0.7500 0.1250  8 La 3.21-3.32
La3 0.0977 0.9133 0.1129  2 N 2.36-2.63
N2 0.0000 0.0000 0.5000  6 La 2.63
La4 0.6129 0.5977 0.9133  2 N 2.36-2.63
La5 0.1845 0.0867 0.6996  2 N 2.36-2.63
La6 0.0151 0.4023 0.8155  2 N 2.36-2.63
La7 0.4849 0.8004 0.8871  2 N 2.36-2.63
La8 0.6845 0.1996 0.5867  2 N 2.36-2.63
La9 0.1996 0.6845 0.0867  2 N 2.36-2.63
La10 0.8155 0.9023 0.0151  2 N 2.36-2.63
La11 0.5151 0.1996 0.1129  2 N 2.36-2.63
N3 0.0000 0.5000 0.0000  6 La 2.63
La12 0.5867 0.8871 0.4023  2 N 2.36-2.63
N4 0.1250 0.7500 0.3750  4 La 2.36
La13 0.8004 0.4849 0.3871  2 N 2.36-2.63
Au2 0.2500 0.6250 0.8750  8 La 3.21-3.32
N5 0.0000 0.0000 0.0000  6 La 2.63
Au3 0.6250 0.2500 0.3750  8 La 3.21-3.32
N6 0.6250 0.8750 0.2500  4 La 2.36
N7 0.5000 0.5000 0.5000  6 La 2.63
Au4 0.6250 0.3750 0.7500  8 La 3.21-3.32
La14 0.1845 0.0977 0.9849  2 N 2.36-2.63
La15 0.3004 0.4133 0.8155  2 N 2.36-2.63
N8 0.5000 0.0000 0.5000  6 La 2.63
La16 0.5151 0.3155 0.9023  2 N 2.36-2.63
N9 0.2500 0.3750 0.6250  4 La 2.36
N10 0.6250 0.7500 0.8750  4 La 2.36
La17 0.5867 0.6996 0.6845  2 N 2.36-2.63
La18 0.8871 0.3004 0.4849  2 N 2.36-2.63
La19 0.0867 0.1845 0.1996  2 N 2.36-2.63
La20 0.3871 0.4023 0.0867  2 N 2.36-2.63
Au5 0.8750 0.1250 0.2500  8 La 3.21-3.32
La21 0.3871 0.9849 0.8004  2 N 2.36-2.63
La22 0.6845 0.4849 0.5977  2 N 2.36-2.63
La23 0.8155 0.9133 0.3004  2 N 2.36-2.63
La24 0.4133 0.3004 0.3155  2 N 2.36-2.63
La25 0.9133 0.0977 0.6129  2 N 2.36-2.63
Au6 0.1250 0.2500 0.8750  8 La 3.21-3.32
La26 0.9849 0.3871 0.3004  2 N 2.36-2.63
La27 0.9133 0.8155 0.8004  2 N 2.36-2.63
La28 0.9023 0.0867 0.8871  2 N 2.36-2.63
Au7 0.7500 0.8750 0.6250  8 La 3.21-3.32
La29 0.1996 0.5151 0.6129  2 N 2.36-2.63
Au8 0.1250 0.8750 0.7500  8 La 3.21-3.32
La30 0.4849 0.6845 0.0977  2 N 2.36-2.63
La31 0.6129 0.0151 0.1996  2 N 2.36-2.63
N11 0.8750 0.2500 0.6250  4 La 2.36
N12 0.0000 0.5000 0.5000  6 La 2.63
La32 0.5977 0.6129 0.4133  2 N 2.36-2.63
La33 0.5977 0.9849 0.6845  2 N 2.36-2.63
La34 0.6996 0.5867 0.1845  2 N 2.36-2.63
La35 0.1129 0.6996 0.5151  2 N 2.36-2.63
La36 0.3004 0.8871 0.9849  2 N 2.36-2.63
N13 0.7500 0.1250 0.8750  4 La 2.36
N14 0.2500 0.8750 0.1250  4 La 2.36
N15 0.1250 0.3750 0.2500  4 La 2.36
La37 0.9849 0.5977 0.1845  2 N 2.36-2.63
Au9 0.3750 0.6250 0.2500  8 La 3.21-3.32
N16 0.5000 0.5000 0.0000  6 La 2.63
N17 0.5000 0.0000 0.0000  6 La 2.63
N18 0.3750 0.1250 0.7500  4 La 2.36
La38 0.1129 0.4133 0.0977  2 N 2.36-2.63
La39 0.0151 0.6129 0.6996  2 N 2.36-2.63
La40 0.4133 0.1129 0.5977  2 N 2.36-2.63
Au10 0.7500 0.3750 0.1250  8 La 3.21-3.32
La41 0.8871 0.5867 0.9023  2 N 2.36-2.63
La42 0.9023 0.8155 0.5151  2 N 2.36-2.63
La43 0.6996 0.1129 0.0151  2 N 2.36-2.63
N19 0.3750 0.2500 0.1250  4 La 2.36
La44 0.3155 0.5151 0.4023  2 N 2.36-2.63
La45 0.0977 0.1845 0.4849  2 N 2.36-2.63
N20 0.8750 0.6250 0.7500  4 La 2.36
La46 0.4023 0.3871 0.5867  2 N 2.36-2.63
La47 0.0867 0.9023 0.3871  2 N 2.36-2.63
La48 0.4023 0.0151 0.3155  2 N 2.36-2.63
Au11 0.3750 0.7500 0.6250  8 La 3.21-3.32
Au12 0.2500 0.1250 0.3750  8 La 3.21-3.32


Record 5
Compound: ZrAlTc4
Source: Alexandria via LeMat-Bulk
Functional: GGA-PBE
Structure: optimized geometry

Computed properties:
The calculation puts the formation energy at -0.157 eV per atom. Its symmetry is F-43m, No. 216. The value obtained for the density is 8571 kg/m3. As for the density of states at the Fermi level: 5.7 states/eV/f.u.

Unit cell a=5.1898 b=5.1898 c=5.1898 alpha=60.00 beta=60.00 gamma=60.00
Last column: nearest neighbours and their distance in Å.
Atoms (fractional coordinates):
Zr1 0.7500 0.7500 0.7500  12 Tc 3.04, 4 Al 3.18
Tc1 0.3742 0.3742 0.8773  6 Tc 2.58-2.61
Tc2 0.8773 0.3742 0.3742  6 Tc 2.58-2.61
Tc3 0.3742 0.8773 0.3742  6 Tc 2.58-2.61
Al1 0.0000 0.0000 0.0000  12 Tc 3.04, 4 Zr 3.18
Tc4 0.3742 0.3742 0.3742  6 Tc 2.58-2.61


Record 6
Compound: Li7CaCd4
Source: Alexandria via LeMat-Bulk
Functional: GGA-PBE
Structure: optimized geometry

Computed properties:
The calculation puts the formation energy at -0.088 eV per atom. Its symmetry is C2/m, No. 12. The value obtained for the density is 3542 kg/m3. As for the density of states at the Fermi level: 5.3 states/eV/f.u.

Unit cell a=5.0878 b=8.0285 c=7.3491 alpha=66.33 beta=69.75 gamma=71.53
Last column: nearest neighbours and their distance in Å.
Atoms (fractional coordinates):
Li1 0.7780 0.8914 0.5525  2 Cd 2.89-3.14, 5 Li 2.99-3.15
Li2 0.2641 0.6931 0.7787  4 Cd 2.67-2.87
Li3 0.9159 0.4537 0.7145  3 Cd 2.78-3.04, 1 Li 2.81
Cd1 0.6794 0.6618 0.9794  6 Li 2.63-2.89
Li4 0.0841 0.5463 0.2855  3 Cd 2.78-3.04, 1 Li 2.81
Ca1 0.0000 0.0000 0.0000  2 Li 2.54
Li5 0.2220 0.1086 0.4475  2 Cd 2.89-3.14, 5 Li 2.99-3.15
Cd2 0.3206 0.3382 0.0206  6 Li 2.63-2.89
Li6 0.5000 0.0000 0.0000  2 Ca 2.54, 4 Cd 2.63-2.80
Cd3 0.4492 0.7188 0.3827  2 Li 2.67-2.80, 1 Cd 2.95
Cd4 0.5508 0.2812 0.6173  2 Li 2.67-2.80, 1 Cd 2.95
Li7 0.7359 0.3069 0.2213  4 Cd 2.67-2.87